(1)
# GeSbTe2Pt

A relaxed structure of GeSbTe2Pt (PBE-GGA, Alexandria).

Total energy in eV for the cell shown: -16.16
ρ in Mg/m³: 7.369
E above lowest polymorph in kJ per mole of atoms: 50.75
Spin magnetization in μB/f.u.: 0.0
SG: P4/mmm (123)

a = 5.246 Å, b = 5.246 Å, c = 5.280 Å
α = 90.00°, β = 90.00°, γ = 90.00°
Sites, in units of the cell vectors:
Ge: 0.000 0.000 0.000
Sb: 0.000 0.000 0.500
Te: 0.000 0.500 0.000
Te: 0.500 0.000 0.000
Pt: 0.500 0.500 0.500

(2)
# KLi2Mn

A relaxed structure of KLi2Mn (PBE-GGA, Alexandria).

Calculated formation energy in eV/atom: 0.51
Total energy in eV for the cell shown: -12.05
ρ in Mg/m³: 1.624
E above lowest polymorph in kJ per mole of atoms: 5.01
Spin magnetization in μB/f.u.: 4.1
SG: Pm (6)

a = 3.105 Å, b = 4.645 Å, c = 7.793 Å
α = 90.00°, β = 100.85°, γ = 90.00°
Sites, in units of the cell vectors:
K: 0.000 0.000 0.000
Li: 0.660 0.500 0.344
Li: 0.830 0.000 0.546
Mn: 0.356 0.500 0.660